Here is an optimized crystal structure of Cr3Te4 from Alexandria. Energies are from GGA-PBE.

It has space group I4/mmm (No. 139), with a = 3.833 Å, b = 3.833 Å, c = 23.528 Å, α = 90.00°, β = 90.00° and γ = 90.00°. The inequivalent atoms are Cr at (0.000, 0.000, 0.000), Cr at (0.000, 0.000, 0.315), Te at (0.000, 0.000, 0.196) and Te at (0.000, 0.000, 0.433).

The uncorrected formation energy comes out at 0.084 eV per atom. The value obtained for the total moment is 3.26 μB/f.u. As for the density of states at the Fermi level: 0.699 states/eV/atom.